This record from the Alexandria database describes an optimized crystal structure of LiCoTcF2. The functional is GGA+U.

Its total energy is -23.04 eV for the cell shown.

The space group is P4/mmm (No. 123) and the conventional cell measures 3.749, 3.749 and 4.801 Å, with angles of 90.00, 90.00 and 90.00 degrees. The asymmetric unit holds Li at (0.000, 0.000, 0.000), Co at (0.000, 0.000, 0.500), Tc at (0.500, 0.500, 0.500) and F at (0.000, 0.500, 0.000).